(1)
KGaOF2 after structural relaxation. Source: the Alexandria database, functional PBE.

Cell: 4.2331 4.2331 3.6295 Å, 90.00 90.00 90.00°
Closest atoms and distances in Å follow each position.
Space group P4/mmm (No. 123)
One atom of each set of equivalent atoms:
K 0.0000 0.0000 0.0000  8 F 2.79, 4 O 2.99
Ga 0.5000 0.5000 0.5000  2 O 1.81
O 0.5000 0.5000 0.0000  2 Ga 1.81
F 0.0000 0.5000 0.5000  2 Ga 2.12

Computed properties:
total magnetization = 0.00 μB/f.u.
distance to the lowest polymorph of the same formula = 0.0 kJ per mole of atoms
D(E_F) = 0.0 states/eV per cell
crystal system = tetragonal
E = -24.44 eV for the cell shown
ΔE_f (raw) = -2.324 eV per atom

=====

(2)
KGaO2F after structural relaxation. Source: the Alexandria database, functional PBE.

Cell: 3.8496 3.8496 4.3765 Å, 90.00 90.00 90.00°
Closest atoms and distances in Å follow each position.
Space group P4/mmm (No. 123)
One atom of each set of equivalent atoms:
K 0.0000 0.0000 0.0000  4 F 2.72, 8 O 2.91
Ga 0.5000 0.5000 0.5000  4 O 1.92
O 0.0000 0.5000 0.5000  2 Ga 1.92
F 0.5000 0.5000 0.0000  2 Ga 2.19

Computed properties:
total magnetization = 1.00 μB/f.u.
D(E_F) = 1.0 states/eV per cell
crystal system = tetragonal
E = -24.44 eV for the cell shown
ΔE_f (raw) = -1.705 eV per atom

=====

(3)
KGaO2F after structural relaxation. Source: the Alexandria database, functional PBE.

Cell: 4.9092 4.9092 4.8335 Å, 90.00 90.00 90.00°
Closest atoms and distances in Å follow each position.
Space group P4/mmm (No. 123)
One atom of each set of equivalent atoms:
K 0.0000 0.0000 0.0000  2 F 2.42, 4 O 2.45
Ga 0.5000 0.5000 0.5000  8 O 3.44, 4 F 3.47
O 0.0000 0.5000 0.0000  2 K 2.45
F 0.0000 0.0000 0.5000  2 K 2.42

Computed properties:
total magnetization = 3.00 μB/f.u.
D(E_F) = 8.2 states/eV per cell
crystal system = tetragonal
E = -16.02 eV for the cell shown
ΔE_f (raw) = -0.022 eV per atom

=====

(4)
KGaOF2 after structural relaxation. Source: the Alexandria database, functional PBE.

Cell: 4.8350 4.8350 4.8967 Å, 90.00 90.00 90.00°
Closest atoms and distances in Å follow each position.
Space group P4/mmm (No. 123)
One atom of each set of equivalent atoms:
K 0.0000 0.0000 0.0000  4 F 2.42, 2 O 2.45
Ga 0.5000 0.5000 0.5000  4 O 3.42, 8 F 3.44
O 0.0000 0.0000 0.5000  2 K 2.45
F 0.0000 0.5000 0.0000  2 K 2.42

Computed properties:
total magnetization = 0.53 μB/f.u.
distance to the lowest polymorph of the same formula = 162.5 kJ per mole of atoms
D(E_F) = 10.3 states/eV per cell
crystal system = tetragonal
E = -16.02 eV for the cell shown
ΔE_f (raw) = -0.640 eV per atom

=====

(5)
K2GaPbF6 after structural relaxation. Source: the Alexandria database, functional PBE.

Cell: 5.8549 8.4403 7.5963 Å, 90.00 90.00 90.00°
Closest atoms and distances in Å follow each position.
Space group Pmmn (No. 59, origin choice 2)
One atom of each set of equivalent atoms:
K 0.2500 0.0188 0.1694  9 F 2.77-2.97
Ga 0.2500 0.7500 0.7997  6 F 1.90-1.97
Pb 0.2500 0.2500 0.6740  2 F 2.47
F 0.0039 0.7500 0.6358  1 Ga 1.90
F 0.0230 0.7500 0.9869  1 Ga 1.95
F 0.2500 0.5170 0.8065  1 Ga 1.97

Computed properties:
total magnetization = 0.93 μB/f.u.
D(E_F) = 2.4 states/eV per cell
crystal system = orthorhombic
E = -88.92 eV for the cell shown
ΔE_f (raw) = -2.430 eV per atom

=====

(6)
KGaPbF6 after structural relaxation. Source: the Alexandria database, functional PBE.

Cell: 6.0105 6.0105 5.3293 Å, 90.00 90.00 120.00°
Closest atoms and distances in Å follow each position.
Space group P312 (No. 149)
One atom of each set of equivalent atoms:
K 0.0000 0.0000 0.0000  6 F 2.75
Ga 0.6667 0.3333 0.5000  6 F 1.94
Pb 0.3333 0.6667 0.5000  6 F 2.47
F 0.4024 0.0646 0.7047  1 Ga 1.94

Computed properties:
total magnetization = 0.00 μB/f.u.
D(E_F) = 0.0 states/eV per cell
crystal system = trigonal
E = -42.65 eV for the cell shown
ΔE_f (raw) = -2.621 eV per atom